Arrangement A

Computed, not measured: a relaxed structure of TbDy2Mg2 at the PBE-GGA level of DFT.

Structure (POSCAR):
```
TbDy2Mg2
1.0
3.6942 0.0000 -0.4951
0.0000 5.4384 0.0000
0.0014 0.0000 14.0526
Mg Tb Dy
4 2 4
direct
0.6394 0.7500 0.2800
0.5537 0.2500 0.1070
0.4463 0.7500 0.8930
0.3606 0.2500 0.7200
0.8487 0.7500 0.6971
0.1513 0.2500 0.3029
0.7632 0.2500 0.5255
0.2368 0.7500 0.4745
0.9558 0.2500 0.9120
0.0442 0.7500 0.0880
```

ρ (g cm⁻³): 6.26
Crystal system: orthorhombic
M_tot (μB per atom): 0.000
Space group: No. 63
D(E_F) (states/eV/atom): 1.124

***

Arrangement B

Computed, not measured: a relaxed structure of TbDy2Mg2 at the PBE-GGA level of DFT.

Structure (POSCAR):
```
TbDy2Mg2
1.0
-1.7452 3.9209 1.5231
-1.9661 -2.2181 3.4573
14.0564 1.3383 5.8529
Dy Mg Tb
4 4 2
direct
0.8272 0.8272 0.6543
0.1728 0.1728 0.3457
0.0000 0.5000 0.0000
0.5000 0.0000 0.0000
0.2500 0.7500 0.5000
0.0742 0.0742 0.1484
0.9258 0.9258 0.8516
0.7500 0.2500 0.5000
0.3878 0.3878 0.7756
0.6122 0.6122 0.2244
```

ρ (g cm⁻³): 5.71
Crystal system: tetragonal
M_tot (μB per atom): 0.000
Space group: No. 139
D(E_F) (states/eV/atom): 1.476

***

In terms of stability, arrangement A leads; the second structure lies 367 meV/atom higher.

***

Arrangement A

Computed, not measured: a relaxed structure of TbDy4Mg7 at the PBE-GGA level of DFT.

Structure (POSCAR):
```
TbDy4Mg7
1.0
-0.3264 5.3908 1.6533
-10.5287 1.9180 1.3151
0.6281 1.0638 6.3028
Dy Mg Tb
4 7 1
direct
0.2472 0.3231 0.1824
0.7528 0.6769 0.8176
0.3860 0.7785 0.4494
0.6140 0.2215 0.5506
0.2211 0.0774 0.4805
0.3678 0.5076 0.7569
0.7789 0.9226 0.5195
0.9333 0.3227 0.8107
0.6322 0.4924 0.2431
0.5000 0.0000 0.0000
0.0667 0.6773 0.1893
0.0000 0.0000 0.0000
```

ρ (g cm⁻³): 4.81
Crystal system: monoclinic
M_tot (μB per atom): 0.000
Space group: No. 12
D(E_F) (states/eV/atom): 1.090

***

Arrangement B

Computed, not measured: a relaxed structure of TbDy4Mg7 at the PBE-GGA level of DFT.

Structure (POSCAR):
```
TbDy4Mg7
1.0
5.2974 0.0000 0.0000
-2.6487 4.5877 0.0000
0.0000 0.0000 13.2219
Mg Dy Tb
7 4 1
direct
0.6667 0.3333 0.5824
0.0000 0.0000 0.0000
0.0000 0.0000 0.2371
0.3333 0.6667 0.4176
0.0000 0.0000 0.7629
0.3333 0.6667 0.1817
0.6667 0.3333 0.8183
0.3333 0.6667 0.6628
0.6667 0.3333 0.0781
0.3333 0.6667 0.9219
0.6667 0.3333 0.3372
0.0000 0.0000 0.5000
```

ρ (g cm⁻³): 5.06
Crystal system: trigonal
M_tot (μB per atom): 0.000
Space group: No. 164
D(E_F) (states/eV/atom): 1.165

***

In terms of stability, arrangement B leads; the second structure lies 173 meV/atom higher.

***

Arrangement A

Computed, not measured: a relaxed structure of Tb7Dy4Mg at the PBE-GGA level of DFT.

Structure (POSCAR):
```
Tb7Dy4Mg
1.0
5.5846 0.0000 0.0000
-2.7923 4.8364 0.0000
0.0000 0.0000 13.9399
Tb Dy Mg
7 4 1
direct
0.3333 0.6667 0.4244
0.6667 0.3333 0.5756
0.0000 0.0000 0.2676
0.3333 0.6667 0.1740
0.0000 0.0000 0.7324
0.6667 0.3333 0.8260
0.0000 0.0000 0.0000
0.3333 0.6667 0.6829
0.6667 0.3333 0.0722
0.3333 0.6667 0.9278
0.6667 0.3333 0.3171
0.0000 0.0000 0.5000
```

ρ (g cm⁻³): 7.88
Crystal system: trigonal
M_tot (μB per atom): 0.000
Space group: No. 164
D(E_F) (states/eV/atom): 2.065

***

Arrangement B

Computed, not measured: a relaxed structure of Tb7Dy4Mg at the PBE-GGA level of DFT.

Structure (POSCAR):
```
Tb7Dy4Mg
1.0
-3.9475 3.3009 2.6885
-1.3099 -1.6045 6.3154
6.2137 8.4177 5.0571
Tb Dy Mg
7 4 1
direct
0.9072 0.9072 0.2784
0.5000 0.0000 0.0000
0.0928 0.0928 0.7216
0.6340 0.2135 0.5185
0.3660 0.7865 0.4815
0.2024 0.5189 0.0763
0.7976 0.4811 0.9237
0.1660 0.3058 0.3621
0.3684 0.4914 0.7718
0.6316 0.5086 0.2282
0.8340 0.6942 0.6379
0.0000 0.0000 0.0000
```

ρ (g cm⁻³): 7.60
Crystal system: monoclinic
M_tot (μB per atom): 0.000
Space group: No. 12
D(E_F) (states/eV/atom): 1.639

***

In terms of stability, arrangement A leads; the second structure lies 170 meV/atom higher.

***

Arrangement A

Computed, not measured: a relaxed structure of Tb3Dy2Mg at the PBE-GGA level of DFT.

Structure (POSCAR):
```
Tb3Dy2Mg
1.0
-5.3518 -1.9988 -3.4843
5.4852 0.2434 -3.8205
4.4452 -6.9736 5.6202
Tb Dy Mg
6 4 2
direct
0.2500 0.7502 0.9999
0.7500 0.2498 0.0001
0.2185 0.0731 0.2903
0.2753 0.5923 0.3681
0.7815 0.9269 0.7097
0.7247 0.4077 0.6319
0.7176 0.5722 0.2912
0.7763 0.0915 0.3676
0.2237 0.9085 0.6324
0.2824 0.4278 0.7088
0.7493 0.7490 0.0005
0.2507 0.2510 0.9995
```

ρ (g cm⁻³): 7.46
Crystal system: triclinic
M_tot (μB per atom): 0.000
Space group: No. 2
D(E_F) (states/eV/atom): 1.334

***

Arrangement B

Computed, not measured: a relaxed structure of Tb3Dy2Mg at the PBE-GGA level of DFT.

Structure (POSCAR):
```
Tb3Dy2Mg
1.0
3.5630 0.0000 0.0000
0.0000 3.5632 0.0000
0.0000 0.0000 14.3549
Mg Tb Dy
1 3 2
direct
0.5000 0.5000 0.5000
0.0000 0.0000 0.6536
0.0000 0.0000 0.3464
0.0000 0.0000 0.0000
0.5000 0.5000 0.8249
0.5000 0.5000 0.1751
```

ρ (g cm⁻³): 7.53
Crystal system: tetragonal
M_tot (μB per atom): 0.000
Space group: No. 123
D(E_F) (states/eV/atom): 1.340

***

In terms of stability, arrangement B leads; the second structure lies 16 meV/atom higher.

***

Arrangement A

Computed, not measured: a relaxed structure of Tb4Dy2Mg at the PBE-GGA level of DFT.

Structure (POSCAR):
```
Tb4Dy2Mg
1.0
-1.6792 -0.8278 -6.4312
9.6344 -7.0653 -1.6061
-2.3251 -11.6396 2.1053
Mg Tb Dy
4 16 8
direct
0.5079 0.5000 0.0000
0.9921 0.0000 0.5000
0.4921 0.0000 0.5000
0.0079 0.5000 0.0000
0.2443 0.1985 0.5408
0.7443 0.0408 0.6985
0.7460 0.1525 0.0187
0.7460 0.8475 0.9813
0.2540 0.0187 0.1525
0.7540 0.6525 0.5187
0.7540 0.3475 0.4813
0.2557 0.6985 0.0408
0.2443 0.8015 0.4592
0.7557 0.5408 0.1985
0.2557 0.3015 0.9592
0.7557 0.4592 0.8015
0.2460 0.5187 0.6525
0.2460 0.4813 0.3475
0.2540 0.9813 0.8475
0.7443 0.9592 0.3015
0.5000 0.2556 0.7444
0.0000 0.2500 0.2500
0.5000 0.2500 0.2500
0.5000 0.7444 0.2556
0.0000 0.2444 0.7556
0.0000 0.7500 0.7500
0.0000 0.7556 0.2444
0.5000 0.7500 0.7500
```

ρ (g cm⁻³): 7.29
Crystal system: orthorhombic
M_tot (μB per atom): 0.000
Space group: No. 68
D(E_F) (states/eV/atom): 1.637

***

Arrangement B

Computed, not measured: a relaxed structure of Tb4Dy2Mg at the PBE-GGA level of DFT.

Structure (POSCAR):
```
Tb4Dy2Mg
1.0
5.9787 0.0000 -0.3468
0.0000 6.5449 0.0000
-2.3433 0.0000 11.2114
Mg Tb Dy
2 8 4
direct
0.1501 0.7500 0.1654
0.8499 0.2500 0.8346
0.6422 0.4991 0.2865
0.3578 0.5009 0.7135
0.3578 0.9991 0.7135
0.6422 0.0009 0.2865
0.0234 0.7500 0.8748
0.9766 0.2500 0.1252
0.8505 0.2500 0.5594
0.1495 0.7500 0.4406
0.6007 0.7500 0.0040
0.3993 0.2500 0.9960
0.7220 0.7500 0.5766
0.2780 0.2500 0.4234
```

ρ (g cm⁻³): 7.55
Crystal system: monoclinic
M_tot (μB per atom): 0.000
Space group: No. 11
D(E_F) (states/eV/atom): 1.381

***

In terms of stability, arrangement B leads; the second structure lies 106 meV/atom higher.

***

Arrangement A

Computed, not measured: a relaxed structure of Tb5Dy2Mg5 at the PBE-GGA level of DFT.

Structure (POSCAR):
```
Tb5Dy2Mg5
1.0
-0.6450 -1.2111 3.3550
0.3115 -8.6440 -1.1024
10.7532 -3.6853 2.6951
Mg Tb Dy
5 5 2
direct
0.8292 0.8415 0.5001
0.7730 0.1766 0.2774
0.2270 0.8234 0.7226
0.0000 0.0000 0.0000
0.1708 0.1585 0.4999
0.4452 0.8665 0.2432
0.5000 0.5000 0.5000
0.5548 0.1335 0.7568
0.6664 0.6888 0.9785
0.3336 0.3112 0.0215
0.8787 0.4842 0.7584
0.1213 0.5158 0.2416
```

ρ (g cm⁻³): 6.04
Crystal system: monoclinic
M_tot (μB per atom): 0.000
Space group: No. 12
D(E_F) (states/eV/atom): 1.085

***

Arrangement B

Computed, not measured: a relaxed structure of Tb5Dy2Mg5 at the PBE-GGA level of DFT.

Structure (POSCAR):
```
Tb5Dy2Mg5
1.0
5.2950 0.0000 0.0000
-2.6475 6.0174 -0.4905
0.0000 -3.0196 10.9485
Tb Dy Mg
5 2 5
direct
0.5000 0.0000 0.5000
0.6050 0.2099 0.2548
0.6580 0.3161 0.9817
0.3950 0.7901 0.7452
0.3419 0.6839 0.0183
0.9109 0.8219 0.2584
0.0891 0.1781 0.7416
0.0000 0.0000 0.0000
0.2434 0.4867 0.2406
0.8263 0.6527 0.5233
0.1737 0.3473 0.4767
0.7566 0.5133 0.7594
```

ρ (g cm⁻³): 6.04
Crystal system: monoclinic
M_tot (μB per atom): 0.000
Space group: No. 12
D(E_F) (states/eV/atom): 1.122

***

In terms of stability, arrangement A leads; the second structure lies 42 meV/atom higher.